1.
HoIn2Cl8: optimized geometry, PBE-GGA.

a = 6.800 Å, b = 9.249 Å, c = 9.249 Å
α = 45.03°, β = 94.23°, γ = 94.23°
Sites, in units of the cell vectors:
Cl1 0.388 0.286 0.286
Cl2 0.254 0.312 0.820
Cl3 0.179 0.867 0.867
Cl4 0.821 0.133 0.133
Cl5 0.254 0.820 0.312
Cl6 0.746 0.688 0.180
Cl7 0.612 0.714 0.714
Cl8 0.746 0.180 0.688
In1 0.452 0.151 0.151
In2 0.548 0.849 0.849
Ho1 0.000 0.000 0.000

Output
raw total energy: -3.61 eV/atom

---

2.
HoInCl: optimized geometry, PBE-GGA.

a = 3.714 Å, b = 3.714 Å, c = 14.006 Å
α = 89.92°, β = 82.38°, γ = 60.00°
Sites, in units of the cell vectors:
Cl1 0.246 0.379 0.129
Cl2 0.754 0.621 0.871
Ho1 0.169 0.914 0.747
Ho2 0.831 0.086 0.253
In1 0.386 0.807 0.421
In2 0.614 0.193 0.579

Output
raw total energy: -4.14 eV/atom

---

3.
HoIn5Cl8: optimized geometry, PBE-GGA.

a = 8.142 Å, b = 8.142 Å, c = 8.142 Å
α = 111.28°, β = 111.28°, γ = 105.92°
Sites, in units of the cell vectors:
Cl1 0.054 0.757 0.151
Cl2 0.605 0.903 0.849
Cl3 0.243 0.395 0.297
Cl4 0.180 0.569 0.731
Cl5 0.551 0.820 0.389
Cl6 0.838 0.449 0.269
Cl7 0.097 0.946 0.703
Cl8 0.431 0.162 0.611
In1 0.395 0.016 0.163
In2 0.769 0.605 0.621
In3 0.852 0.231 0.837
In4 0.500 0.500 0.000
In5 0.984 0.148 0.379
Ho1 0.250 0.750 0.500

Output
raw total energy: -3.57 eV/atom

---

4.
K2HoInCl6: optimized geometry, PBE-GGA.

a = 7.703 Å, b = 7.703 Å, c = 8.027 Å
α = 61.33°, β = 61.33°, γ = 59.98°
Sites, in units of the cell vectors:
Cl1 0.561 0.211 0.241
Cl2 0.211 0.987 0.241
Cl3 0.123 0.429 0.784
Cl4 0.987 0.561 0.241
Cl5 0.665 0.123 0.784
Cl6 0.429 0.665 0.784
Ho1 0.323 0.323 0.031
K1 0.532 0.532 0.404
K2 0.021 0.021 0.939
In1 0.811 0.811 0.567

Output
raw total energy: -3.95 eV/atom

---

5.
KHoIn2Cl6: optimized geometry, PBE-GGA.

a = 7.775 Å, b = 7.776 Å, c = 7.939 Å
α = 60.64°, β = 60.65°, γ = 59.94°
Sites, in units of the cell vectors:
In1 0.528 0.528 0.416
In2 0.025 0.025 0.925
Cl1 0.436 0.657 0.779
Cl2 0.189 0.999 0.248
Cl3 0.999 0.565 0.247
Cl4 0.565 0.189 0.247
Cl5 0.127 0.436 0.779
Cl6 0.658 0.127 0.779
Ho1 0.321 0.321 0.037
K1 0.814 0.814 0.559

Output
raw total energy: -3.88 eV/atom

---

6.
LiHoIn2Cl6: optimized geometry, PBE-GGA.

a = 7.224 Å, b = 7.391 Å, c = 10.295 Å
α = 90.00°, β = 89.79°, γ = 90.00°
Sites, in units of the cell vectors:
Cl1 0.793 0.790 0.966
Cl2 0.568 0.012 0.248
Cl3 0.207 0.207 0.467
Cl4 0.293 0.707 0.033
Cl5 0.707 0.293 0.967
Cl6 0.932 0.512 0.252
Cl7 0.707 0.290 0.534
Cl8 0.207 0.210 0.034
Cl9 0.293 0.710 0.466
Cl10 0.068 0.488 0.748
Cl11 0.793 0.793 0.533
Cl12 0.432 0.988 0.752
In1 0.511 0.557 0.753
In2 0.011 0.943 0.253
In3 0.989 0.057 0.747
In4 0.489 0.443 0.247
Ho1 0.500 0.000 0.500
Ho2 0.000 0.500 0.000
Li1 0.500 0.000 0.000
Li2 0.000 0.500 0.500

Output
raw total energy: -3.91 eV/atom

---

7.
HoMgInCl6: optimized geometry, PBE-GGA.

a = 6.763 Å, b = 6.763 Å, c = 14.076 Å
α = 90.00°, β = 90.00°, γ = 120.00°
Sites, in units of the cell vectors:
Cl1 0.988 0.621 0.854
Cl2 0.633 0.621 0.646
Cl3 0.012 0.633 0.354
Cl4 0.621 0.988 0.354
Cl5 0.379 0.367 0.854
Cl6 0.621 0.633 0.146
Cl7 0.379 0.012 0.646
Cl8 0.367 0.988 0.146
Cl9 0.988 0.367 0.646
Cl10 0.012 0.379 0.146
Cl11 0.367 0.379 0.354
Cl12 0.633 0.012 0.854
Mg1 0.333 0.667 0.250
Mg2 0.667 0.333 0.750
In1 0.000 0.000 0.000
In2 0.000 0.000 0.500
Ho1 0.667 0.333 0.250
Ho2 0.333 0.667 0.750

Output
raw total energy: -4.05 eV/atom

---

8.
HoMnInCl6: optimized geometry, PBE-GGA.

a = 6.443 Å, b = 6.443 Å, c = 14.454 Å
α = 90.00°, β = 90.00°, γ = 120.00°
Sites, in units of the cell vectors:
Mn1 0.667 0.333 0.750
Mn2 0.333 0.667 0.250
Ho1 0.333 0.667 0.750
Ho2 0.667 0.333 0.250
Cl1 0.621 0.969 0.349
Cl2 0.031 0.379 0.151
Cl3 0.031 0.652 0.349
Cl4 0.652 0.031 0.849
Cl5 0.379 0.031 0.651
Cl6 0.348 0.969 0.151
Cl7 0.969 0.621 0.849
Cl8 0.621 0.652 0.151
Cl9 0.348 0.379 0.349
Cl10 0.379 0.348 0.849
Cl11 0.969 0.348 0.651
Cl12 0.652 0.621 0.651
In1 0.000 0.000 0.000
In2 0.000 0.000 0.500

Output
raw total energy: -4.38 eV/atom

---

Ordered ΔE_f (raw) results: -1.355; -1.086; -1.209; -1.893; -1.658; -1.608; -1.830; -1.314; unit eV per atom.